Entry w
Below is a geometry-optimized SrHPd3 structure, with properties calculated at the PBE level.

Summary:
- crystal system = cubic

abc: 5.346 5.346 5.346
angles: 90.00 90.00 90.00
Positions (direct):
1 Sr 0.000 0.000 0.000
2 H 0.500 0.500 0.500
3 Pd 0.000 0.000 0.500
4 Pd 0.000 0.500 0.000
5 Pd 0.500 0.000 0.000

=====

Entry x
Below is a geometry-optimized SrHPd3 structure, with properties calculated at the PBE level.

Summary:
- crystal system = cubic

abc: 4.267 4.267 4.267
angles: 90.00 90.00 90.00
Positions (direct):
1 Sr 0.000 0.000 0.000
2 H 0.500 0.500 0.500
3 Pd 0.000 0.500 0.500
4 Pd 0.500 0.000 0.500
5 Pd 0.500 0.500 0.000

=====

Relative energies, in meV per atom, with the most stable structure set to zero: entry w 1782; entry x 0.

=====

Entry w
Below is a geometry-optimized Sr3HPd structure, with properties calculated at the PBE level.

Summary:
- crystal system = cubic

abc: 5.188 5.188 5.188
angles: 90.00 90.00 90.00
Positions (direct):
1 Sr 0.000 0.000 0.500
2 Sr 0.000 0.500 0.000
3 Sr 0.500 0.000 0.000
4 H 0.000 0.000 0.000
5 Pd 0.500 0.500 0.500

=====

Entry x
Below is a geometry-optimized Sr3HPd structure, with properties calculated at the PBE level.

Summary:
- crystal system = monoclinic

abc: 8.683 4.089 8.712
angles: 90.00 107.61 90.00
Positions (direct):
1 Sr 0.057 0.000 0.307
2 Sr 0.306 0.000 0.055
3 Sr 0.346 0.500 0.655
4 Sr 0.654 0.500 0.345
5 Sr 0.694 0.000 0.945
6 Sr 0.943 0.000 0.693
7 H 0.000 0.500 0.500
8 H 0.500 0.500 0.000
9 Pd 0.000 0.500 0.000
10 Pd 0.500 0.000 0.500

=====

Relative energies, in meV per atom, with the most stable structure set to zero: entry w 99; entry x 0.

=====

Entry w
Below is a geometry-optimized Sr2ZnHPd structure, with properties calculated at the PBE level.

Summary:
- crystal system = monoclinic

abc: 6.343 4.471 8.867
angles: 90.00 108.80 90.00
Positions (direct):
1 Sr 0.216 0.250 0.424
2 Sr 0.281 0.750 0.059
3 Sr 0.719 0.250 0.941
4 Sr 0.784 0.750 0.576
5 Zn 0.347 0.750 0.716
6 Zn 0.653 0.250 0.284
7 H 0.374 0.750 0.511
8 H 0.626 0.250 0.489
9 Pd 0.178 0.250 0.779
10 Pd 0.822 0.750 0.221

=====

Entry x
Below is a geometry-optimized Sr2ZnHPd structure, with properties calculated at the PBE level.

Summary:
- crystal system = tetragonal

abc: 5.169 5.169 4.050
angles: 90.00 90.00 90.00
Positions (direct):
1 Sr 0.000 0.500 0.000
2 Sr 0.500 0.000 0.000
3 Zn 0.000 0.000 0.500
4 H 0.000 0.000 0.000
5 Pd 0.500 0.500 0.500

=====

Relative energies, in meV per atom, with the most stable structure set to zero: entry w 0; entry x 106.